(1)
This record from Alexandria describes a geometry-optimized Ce2PmTh3Se6 structure. The functional is PBE.

Calculated values
Density of states at the Fermi level ... 1.3845 states/eV per atom
Space-group type ... C2/m

```
Ce2PmTh3Se6
1.0
3.618 -6.256 0.000
3.618 6.256 0.000
-2.405 0.000 6.928
Ce Pm Th Se
2 1 3 6
direct
0.167 0.833 0.000
0.833 0.167 0.000
0.500 0.500 0.000
0.000 0.000 0.500
0.334 0.666 0.500
0.666 0.334 0.500
0.085 0.418 0.753
0.248 0.248 0.246
0.418 0.085 0.753
0.582 0.915 0.247
0.752 0.752 0.754
0.915 0.582 0.247
```

---

(2)
This record from Alexandria describes a geometry-optimized CePm3Th4Se8 structure. The functional is PBE.

Calculated values
Density of states at the Fermi level ... 0.7136 states/eV per atom
Space-group type ... R-3m

```
CePm3Th4Se8
1.0
4.150 2.396 7.011
-4.150 2.396 7.011
0.000 -4.793 7.011
Ce Pm Th Se
1 3 4 8
direct
0.000 0.000 0.000
0.000 0.500 0.500
0.500 0.000 0.500
0.500 0.500 0.000
0.000 0.000 0.500
0.000 0.500 0.000
0.500 0.000 0.000
0.500 0.500 0.500
0.249 0.249 0.748
0.249 0.748 0.249
0.251 0.251 0.251
0.252 0.751 0.751
0.748 0.249 0.249
0.749 0.749 0.749
0.751 0.252 0.751
0.751 0.751 0.252
```

---

(3)
This record from Alexandria describes a geometry-optimized CePm3Th2Se6 structure. The functional is PBE.

Calculated values
Density of states at the Fermi level ... 0.9351 states/eV per atom
Space-group type ... C2/m

```
CePm3Th2Se6
1.0
3.619 -6.251 0.000
3.619 6.251 0.000
-2.406 0.000 6.940
Ce Pm Th Se
1 3 2 6
direct
0.000 0.000 0.000
0.168 0.832 0.500
0.500 0.500 0.500
0.832 0.168 0.500
0.334 0.666 0.000
0.666 0.334 0.000
0.084 0.416 0.252
0.248 0.248 0.747
0.416 0.084 0.252
0.584 0.916 0.748
0.752 0.752 0.253
0.916 0.584 0.748
```

---

(4)
This record from Alexandria describes a geometry-optimized Ce3PmTh3Se8 structure. The functional is PBE.

Calculated values
Density of states at the Fermi level ... 1.4486 states/eV per atom
Space-group type ... R-3m

```
Ce3PmTh3Se8
1.0
4.182 2.414 6.833
-4.182 2.414 6.833
0.000 -4.829 6.833
Ce Pm Th Se
3 1 3 8
direct
0.000 0.500 0.500
0.500 0.000 0.500
0.500 0.500 0.000
0.500 0.500 0.500
0.000 0.000 0.500
0.000 0.500 0.000
0.500 0.000 0.000
0.245 0.245 0.755
0.245 0.755 0.245
0.245 0.755 0.755
0.251 0.251 0.251
0.749 0.749 0.749
0.755 0.245 0.245
0.755 0.245 0.755
0.755 0.755 0.245
```

---

(5)
This record from Alexandria describes a geometry-optimized Ce4Pm3ThSe8 structure. The functional is PBE.

Calculated values
Density of states at the Fermi level ... 1.6613 states/eV per atom
Space-group type ... R-3m

```
Ce4Pm3ThSe8
1.0
4.199 2.424 6.856
-4.199 2.424 6.856
0.000 -4.849 6.856
Ce Pm Th Se
4 3 1 8
direct
0.000 0.000 0.000
0.000 0.500 0.500
0.500 0.000 0.500
0.500 0.500 0.000
0.000 0.000 0.500
0.000 0.500 0.000
0.500 0.000 0.000
0.500 0.500 0.500
0.248 0.751 0.751
0.249 0.249 0.752
0.249 0.752 0.249
0.250 0.250 0.250
0.750 0.750 0.750
0.751 0.248 0.751
0.751 0.751 0.248
0.752 0.249 0.249
```

---

(6)
This record from Alexandria describes a geometry-optimized Ce3Pm4ThSe8 structure. The functional is PBE.

Calculated values
Density of states at the Fermi level ... 1.3869 states/eV per atom
Space-group type ... R-3m

```
Ce3Pm4ThSe8
1.0
4.191 2.420 6.881
-4.191 2.420 6.881
0.000 -4.839 6.881
Ce Pm Th Se
3 4 1 8
direct
0.000 0.500 0.500
0.500 0.000 0.500
0.500 0.500 0.000
0.000 0.000 0.500
0.000 0.500 0.000
0.500 0.000 0.000
0.500 0.500 0.500
0.000 0.000 0.000
0.250 0.250 0.250
0.250 0.749 0.749
0.251 0.251 0.750
0.251 0.750 0.251
0.749 0.250 0.749
0.749 0.749 0.250
0.750 0.251 0.251
0.750 0.750 0.750
```

---

(7)
This record from Alexandria describes a geometry-optimized Ce3PmTl3Se8 structure. The functional is PBE.

Calculated values
Density of states at the Fermi level ... 0.9182 states/eV per atom
Space-group type ... R-3m

```
Ce3PmTl3Se8
1.0
4.302 2.483 7.709
-4.302 2.483 7.709
0.000 -4.967 7.709
Ce Pm Tl Se
3 1 3 8
direct
0.000 0.500 0.500
0.500 0.000 0.500
0.500 0.500 0.000
0.000 0.000 0.000
0.000 0.000 0.500
0.000 0.500 0.000
0.500 0.000 0.000
0.236 0.236 0.733
0.236 0.733 0.236
0.264 0.264 0.264
0.267 0.764 0.764
0.733 0.236 0.236
0.736 0.736 0.736
0.764 0.267 0.764
0.764 0.764 0.267
```

---

(8)
This record from Alexandria describes a geometry-optimized CePm3Tl4Se8 structure. The functional is PBE.

Calculated values
Density of states at the Fermi level ... 0.3594 states/eV per atom
Space-group type ... R-3m

```
CePm3Tl4Se8
1.0
4.312 2.489 7.749
-4.312 2.489 7.749
0.000 -4.979 7.749
Ce Pm Tl Se
1 3 4 8
direct
0.000 0.000 0.000
0.000 0.500 0.500
0.500 0.000 0.500
0.500 0.500 0.000
0.000 0.000 0.500
0.000 0.500 0.000
0.500 0.000 0.000
0.500 0.500 0.500
0.237 0.237 0.735
0.237 0.735 0.237
0.264 0.264 0.264
0.265 0.763 0.763
0.735 0.237 0.237
0.736 0.736 0.736
0.763 0.265 0.763
0.763 0.763 0.265
```

---

(9)
This record from Alexandria describes a geometry-optimized Ce3PmTl4Se8 structure. The functional is PBE.

Calculated values
Density of states at the Fermi level ... 1.2464 states/eV per atom
Space-group type ... R-3m

```
Ce3PmTl4Se8
1.0
4.335 2.503 7.731
-4.335 2.503 7.731
0.000 -5.006 7.731
Ce Pm Tl Se
3 1 4 8
direct
0.000 0.500 0.500
0.500 0.000 0.500
0.500 0.500 0.000
0.000 0.000 0.000
0.000 0.000 0.500
0.000 0.500 0.000
0.500 0.000 0.000
0.500 0.500 0.500
0.236 0.236 0.738
0.236 0.738 0.236
0.262 0.764 0.764
0.264 0.264 0.264
0.736 0.736 0.736
0.738 0.236 0.236
0.764 0.262 0.764
0.764 0.764 0.262
```

---

(10)
This record from Alexandria describes a geometry-optimized CePmTl2Se4 structure. The functional is PBE.

Calculated values
Density of states at the Fermi level ... 0.8204 states/eV per atom
Space-group type ... P2/m

```
CePmTl2Se4
1.0
7.488 0.000 0.000
0.000 4.326 0.000
-2.493 0.000 7.739
Ce Pm Tl Se
1 1 2 4
direct
0.000 0.000 0.000
0.500 0.500 0.000
0.000 0.500 0.500
0.500 0.000 0.500
0.238 0.500 0.209
0.265 0.000 0.791
0.735 0.000 0.209
0.762 0.500 0.791
```

---

(11)
This record from Alexandria describes a geometry-optimized Ce2PmTl3Se6 structure. The functional is PBE.

Calculated values
Density of states at the Fermi level ... 1.0959 states/eV per atom
Space-group type ... C2/m

```
Ce2PmTl3Se6
1.0
3.752 -6.498 0.000
3.752 6.498 0.000
-2.501 0.000 7.733
Ce Pm Tl Se
2 1 3 6
direct
0.167 0.833 0.000
0.833 0.167 0.000
0.500 0.500 0.000
0.000 0.000 0.500
0.334 0.666 0.500
0.666 0.334 0.500
0.098 0.430 0.791
0.238 0.238 0.209
0.430 0.098 0.791
0.570 0.902 0.209
0.762 0.762 0.791
0.902 0.570 0.209
```

---

(12)
This record from Alexandria describes a geometry-optimized Ce3Pm3TmSe8 structure. The functional is PBE.

Calculated values
Density of states at the Fermi level ... 1.4137 states/eV per atom
Space-group type ... R-3m

```
Ce3Pm3TmSe8
1.0
4.187 2.417 6.829
-4.187 2.417 6.829
0.000 -4.834 6.829
Ce Pm Tm Se
3 3 1 8
direct
0.000 0.500 0.500
0.500 0.000 0.500
0.500 0.500 0.000
0.000 0.000 0.500
0.000 0.500 0.000
0.500 0.000 0.000
0.000 0.000 0.000
0.243 0.756 0.756
0.244 0.244 0.757
0.244 0.757 0.244
0.250 0.250 0.250
0.750 0.750 0.750
0.756 0.243 0.756
0.756 0.756 0.243
0.757 0.244 0.244
```

---

| no. | raw formation energy (eV per atom) | spin magnetization (μB per formula unit) |
| --- | --- | --- |
| 1 | -1.68 | 1.4 |
| 2 | -1.69 | 0.9 |
| 3 | -1.73 | 1.0 |
| 4 | -1.75 | 2.2 |
| 5 | -1.80 | 3.4 |
| 6 | -1.80 | 2.6 |
| 7 | -1.41 | 2.0 |
| 8 | -1.37 | 1.0 |
| 9 | -1.33 | 3.0 |
| 10 | -1.35 | 1.0 |
| 11 | -1.34 | 2.0 |
| 12 | -1.86 | 3.6 |